Computed, not measured: crystalline Rb3FeTe at its relaxed geometry at the PBE level of DFT.

Results
The value obtained for the calculated total energy is -13.250 eV/f.u. The theoretical density comes out at 2.15 Mg/m³. The formation energy without anion corrections comes out at 121 kJ/mol of formula units. As for the energy above the most stable polymorph in this dataset: 0 meV per atom. For the volume, the calculation gives 340 Å³ per cell. The total magnetization comes out at 3.12 μB/f.u.

a = 6.9762 Å, b = 6.9762 Å, c = 6.9762 Å
α = 90.00°, β = 90.00°, γ = 90.00°
Each line ends with the local moment (μB).
Positions (direct):
Rb: 0.0000 0.0000 0.5000  0.00
Fe: 0.5000 0.5000 0.5000  3.08
Rb: 0.0000 0.5000 0.0000  0.00
Te: 0.0000 0.0000 0.0000  -0.01
Rb: 0.5000 0.0000 0.0000  0.00